VASP calculation (SCAN) on a PBEsol-optimized structure of Nb2ReTc.

Output
Final energy in eV per atom: -43.505
Energy relative to the elements in eV/atom: -0.401

a b c (Å): 4.4822 4.4822 4.4822
angles (deg): 60.00 60.00 60.00
Positions (direct):
Nb (0.2500, 0.2500, 0.2500)
Nb (0.7500, 0.7500, 0.7500)
Re (0.0000, 0.0000, 0.0000)
Tc (0.5000, 0.5000, 0.5000)